## Mg2ZrHg (PBE)

Data for a relaxed Mg2ZrHg crystal.

Unit cell a=3.101 b=4.364 c=6.396 alpha=90.00 beta=90.00 gamma=90.00
Atoms (fractional coordinates):
Hg (0.500, 0.500, 0.750)
Mg (0.000, 0.000, 0.000)
Mg (0.500, 0.500, 0.244)
Zr (0.000, 0.000, 0.506)

For the spin magnetization, the calculation gives 0.00 μB/f.u. The calculation puts the final energy at -3.060 eV per atom. The calculation puts the density of states at the Fermi level at 2.88 states/eV per cell.